{"formula": "SrZn4Pt", "functional": "PBE", "state": "relaxed", "relative_energy_ev_per_atom": 0.000, "spacegroup": "No. 63", "ef_mev_per_atom": -313, "final_energy_ha_per_atom": -0.0900, "crystal_system": "orthorhombic", "cell": [[-0.837, 1.006, -4.827], [0.251, -6.858, -1.473], [-6.513, -0.993, 3.514]], "species": ["Sr", "Sr", "Zn", "Zn", "Zn", "Zn", "Zn", "Zn", "Zn", "Zn", "Pt", "Pt"], "fractional_positions": [[0.398, 0.750, 0.796], [0.602, 0.250, 0.204], [0.210, 0.433, 0.420], [0.790, 0.567, 0.580], [0.210, 0.067, 0.420], [0.790, 0.933, 0.580], [0.629, 0.750, 0.258], [0.371, 0.250, 0.742], [0.000, 0.500, 0.000], [0.000, 0.000, 0.000], [0.124, 0.750, 0.248], [0.876, 0.250, 0.752]]}